Crystalline YNi2Pt at its relaxed geometry, computed with PBE.

Total DFT energy (no corrections): -25.73 eV per formula unit
D(E_F): 12.6 states/eV per cell
Formation energy: -415 meV/atom

Lattice parameters (Å, degrees): 3.942 3.984 8.103 90.00 90.00 90.00
Space group Imm2 (No. 44)
Unique sites:
Y (0.000, 0.000, 0.000) [2 per cell]
Ni (0.000, 0.000, 0.496) [2 per cell]
Ni (0.000, 0.500, 0.751) [2 per cell]
Pt (0.000, 0.500, 0.249) [2 per cell]